Here is a relaxed CoSeN2F crystal from the Alexandria database. Energies are from PBE with a Hubbard U.

a = 3.4926 Å, b = 3.4926 Å, c = 5.1715 Å
α = 90.00°, β = 90.00°, γ = 90.00°
Closest atoms and distances in Å follow each position.
Fractional coordinates of all 5 atoms:
Co (0.0000, 0.0000, 0.0000)  4 N 1.75
Se (0.0000, 0.0000, 0.5000)  4 F 2.47, 2 Co 2.59
N (0.0000, 0.5000, 0.0000)  2 Co 1.75
N (0.5000, 0.0000, 0.0000)  2 Co 1.75
F (0.5000, 0.5000, 0.5000)  4 Se 2.47

V = 63.08 Å³ per cell
excess energy over the best structure of this formula in the dataset = 166 meV per atom